Mg2InPb2, optimized geometry, DFT PBE; space group = P4/mbm; DFT total energy = -2.66 eV/atom; total moment = 0.000 μB/cell; ΔE_f = 0.9 kJ per mole of atoms; energy above the most stable polymorph in this dataset = 0.0529 eV per atom; DOS at the Fermi energy = 0.350 states/eV/atom
1.0
-5.513 -0.598 7.033
5.249 -6.314 3.577
1.787 2.394 1.604
Mg Pb In
4 4 2
Cartesian
2.527 -5.712 5.711
-2.791 -1.200 4.900
1.221 -2.412 2.239
-1.485 -4.500 8.372
-1.951 -1.405 7.854
3.474 -3.113 4.361
1.590 -4.462 8.473
-0.068 -0.056 3.742
-0.132 -3.456 5.305
0.000 0.000 0.000